Entry 1:
VASP calculation (PBE-GGA) on a relaxed TaV2Mo crystal.

Cell and atoms, written as POSCAR:
```
TaV2Mo
1.0
3.107 0.000 0.000
0.000 3.107 0.000
0.000 0.000 6.297
Ta V Mo
1 2 1
direct
0.000 0.000 0.000
0.500 0.500 0.262
0.500 0.500 0.738
0.000 0.000 0.500
```

Electronic total energy, eV per atom: -10.29
Mass density, g/cm3: 10.34

Entry 2:
VASP calculation (PBE-GGA) on a relaxed Ta3VMo crystal.

Cell and atoms, written as POSCAR:
```
Ta3VMo
1.0
4.594 0.000 0.000
0.000 4.594 0.000
0.000 0.000 4.594
Ta V Mo
3 1 1
direct
0.000 0.000 0.500
0.000 0.500 0.000
0.500 0.000 0.000
0.000 0.000 0.000
0.500 0.500 0.500
```

Electronic total energy, eV per atom: -9.80
Mass density, g/cm3: 11.82

Entry 3:
VASP calculation (PBE-GGA) on a relaxed Ta2V3Mo2 crystal.

Cell and atoms, written as POSCAR:
```
Ta2V3Mo2
1.0
4.649 -2.237 0.000
4.649 2.237 0.000
-0.570 0.000 5.226
Ta V Mo
2 3 2
direct
0.070 0.070 0.280
0.930 0.930 0.720
0.361 0.361 0.430
0.500 0.500 0.000
0.639 0.639 0.570
0.219 0.219 0.851
0.781 0.781 0.149
```

Electronic total energy, eV per atom: -10.43
Mass density, g/cm3: 10.79

Entry 4:
VASP calculation (PBE-GGA) on a relaxed Ta3VMo4 crystal.

Cell and atoms, written as POSCAR:
```
Ta3VMo4
1.0
3.198 0.000 0.000
0.000 3.198 0.000
0.000 0.000 12.766
Ta V Mo
3 1 4
direct
0.000 0.000 0.000
0.000 0.000 0.255
0.000 0.000 0.745
0.000 0.000 0.500
0.500 0.500 0.128
0.500 0.500 0.383
0.500 0.500 0.617
0.500 0.500 0.872
```

Electronic total energy, eV per atom: -11.17
Mass density, g/cm3: 12.43

Entry 5:
VASP calculation (PBE-GGA) on a relaxed Ta3V8Mo crystal.

Cell and atoms, written as POSCAR:
```
Ta3V8Mo
1.0
5.061 0.000 0.000
-2.530 4.383 0.000
0.000 0.000 8.082
Ta V Mo
3 8 1
direct
0.000 0.000 0.000
0.000 0.000 0.378
0.333 0.667 0.875
0.006 0.503 0.191
0.328 0.164 0.687
0.497 0.503 0.191
0.497 0.994 0.191
0.667 0.333 0.439
0.667 0.333 0.938
0.836 0.164 0.687
0.836 0.672 0.687
0.333 0.667 0.499
```

Electronic total energy, eV per atom: -10.05
Mass density, g/cm3: 9.69

Entry 6:
VASP calculation (PBE-GGA) on a relaxed TaVMo3 crystal.

Cell and atoms, written as POSCAR:
```
TaVMo3
1.0
4.489 0.000 0.000
0.000 4.489 0.000
0.000 0.000 4.489
Ta V Mo
1 1 3
direct
0.000 0.000 0.000
0.500 0.500 0.500
0.000 0.500 0.500
0.500 0.000 0.500
0.500 0.500 0.000
```

Electronic total energy, eV per atom: -9.54
Mass density, g/cm3: 9.54

Entry 7:
VASP calculation (PBE-GGA) on a relaxed Ta6V5Mo crystal.

Cell and atoms, written as POSCAR:
```
Ta6V5Mo
1.0
-2.252 3.184 6.740
2.252 -3.184 6.740
2.252 3.184 -6.740
Ta V Mo
6 5 1
direct
0.082 0.333 0.749
0.249 0.000 0.249
0.416 0.667 0.749
0.584 0.333 0.251
0.751 0.000 0.751
0.918 0.667 0.251
0.000 0.500 0.500
0.167 0.167 0.000
0.329 0.829 0.500
0.671 0.171 0.500
0.833 0.833 0.000
0.500 0.500 0.000
```

Electronic total energy, eV per atom: -10.64
Mass density, g/cm3: 12.33

Entry 8:
VASP calculation (PBE-GGA) on a relaxed Ta2VMo3 crystal.

Cell and atoms, written as POSCAR:
```
Ta2VMo3
1.0
3.188 0.000 0.000
0.000 3.188 0.000
0.000 0.000 9.516
Ta V Mo
2 1 3
direct
0.000 0.000 0.171
0.000 0.000 0.829
0.000 0.000 0.500
0.500 0.500 0.000
0.500 0.500 0.343
0.500 0.500 0.657
```

Electronic total energy, eV per atom: -11.04
Mass density, g/cm3: 12.03

| no. | formation energy (eV per atom) |
| --- | --- |
| 1 | -0.059 |
| 2 | 1.302 |
| 3 | -0.044 |
| 4 | -0.166 |
| 5 | -0.103 |
| 6 | 1.155 |
| 7 | -0.016 |
| 8 | -0.155 |